[1]
First-principles (GGA-PBE) data for a geometry-optimized MgTe2NO structure, as listed in Alexandria.

The calculation puts the density of states at the Fermi level at 0.99 states/eV per atom. As for the energy relative to the lowest polymorph listed for this composition: 0.354 eV per atom. The calculation puts the total energy at -3.09 eV/atom. Its calculated volume is 116.1 Å³ per cell.

The space group is P4/mmm (No. 123) and the conventional cell measures 5.4966, 5.4966 and 3.8418 Å, with angles of 90.00, 90.00 and 90.00 degrees. The distinct sites, in fractional coordinates, are Mg at (0.0000, 0.0000, 0.0000), Te at (0.0000, 0.5000, 0.0000), N at (0.0000, 0.0000, 0.5000) and O at (0.5000, 0.5000, 0.5000).

[2]
First-principles (GGA-PBE) data for a geometry-optimized SmIn2Te4Au structure, as listed in Alexandria.

The calculation puts the density of states at the Fermi level at 0.54 states/eV per atom. The calculation puts the total energy at -3.75 eV/atom. Its calculated volume is 251.2 Å³ per cell.

The space group is P2/m (No. 10) and the conventional cell measures 7.8073, 4.2881 and 8.0113 Å, with angles of 90.00, 110.52 and 90.00 degrees. The distinct sites, in fractional coordinates, are Sm at (0.0000, 0.0000, 0.0000), In at (0.0000, 0.5000, 0.5000), In at (0.5000, 0.0000, 0.5000), Te at (0.2342, 0.5000, 0.2540), Te at (0.2816, 0.0000, 0.7857) and Au at (0.5000, 0.5000, 0.0000).

[3]
First-principles (GGA-PBE) data for a geometry-optimized BaMg2Pt structure, as listed in Alexandria.

The calculation puts the density of states at the Fermi level at 0.35 states/eV per atom. The calculation puts the total energy at -2.70 eV/atom. The formation energy is 0.090 eV/atom. Its calculated volume is 204.7 Å³ per cell.

The space group is Cmmm (No. 65) and the conventional cell measures 5.9926, 10.6427 and 3.2090 Å, with angles of 90.00, 90.00 and 90.00 degrees. The distinct sites, in fractional coordinates, are Ba at (0.0000, 0.0000, 0.0000), Mg at (0.2500, 0.2500, 0.5000) and Pt at (0.0000, 0.5000, 0.0000).

> Number 1 is which compound?

MgTe2NO

> What is the calculated volume in the first record?

116.1 Å³ per cell